A plane-wave DFT calculation with PBE was carried out for a relaxed structure of Ca2HPb.

Unit cell a=3.7574 b=3.7574 c=24.0676 alpha=90.00 beta=90.00 gamma=120.00
Space group R-3m (No. 166, hexagonal axes)
Symmetry-distinct sites (fractional):
Ca  0.0000  0.0000  0.2281 x6
H  0.0000  0.0000  0.5000 x3
Pb  0.0000  0.0000  0.0000 x3

Summary:
Total DFT energy (no corrections): -3.08 eV/atom
Crystal system: trigonal
N(E_F): 6.8 states/eV/cell
Offset from the most stable computed form: 0.143 eV per atom